Record 1
A relaxed TlCrAs2 crystal. Source: Alexandria via LeMat-Bulk, functional GGA-PBE.

## Properties
The relative energy among the computed polymorphs comes out at 162 meV/atom. As for the symmetry: P-4m2, No. 115. The volume is 107 Å³ per cell. Its density of states at the Fermi level is 0.503 states/eV per atom. The energy relative to the elements comes out at 187.4 meV per atom.

a = 4.3861 Å, b = 4.3871 Å, c = 5.5710 Å
α = 90.04°, β = 90.00°, γ = 90.00°
Each line ends with the local moment (μB).
Sites, in units of the cell vectors:
As 0.5000 0.3748 0.4366  -0.11
As 0.0000 0.8751 0.0635  -0.11
Tl 0.5000 0.8748 0.7500  0.04
Cr 0.0000 0.3752 0.2499  2.94

Record 2
A relaxed TlCrAs2 crystal. Source: Alexandria via LeMat-Bulk, functional GGA-PBE.

## Properties
The relative energy among the computed polymorphs comes out at 744 meV/atom. As for the symmetry: Fm-3m, No. 225. The volume is 76 Å³ per cell. Its density of states at the Fermi level is 2.270 states/eV per atom. The energy relative to the elements comes out at 769.6 meV per atom.

a = 4.7452 Å, b = 4.7452 Å, c = 4.7452 Å
α = 60.00°, β = 60.00°, γ = 60.00°
Sites, in units of the cell vectors:
Cr 0.0000 0.0000 0.0000
As 0.7500 0.7500 0.7500
As 0.2500 0.2500 0.2500
Tl 0.5000 0.5000 0.5000

Record 3
A relaxed TlCrAs2 crystal. Source: Alexandria via LeMat-Bulk, functional GGA-PBE.

## Properties
The relative energy among the computed polymorphs comes out at 200 meV/atom. As for the symmetry: P4mm, No. 99. The volume is 91 Å³ per cell. Its density of states at the Fermi level is 0.543 states/eV per atom. The energy relative to the elements comes out at 225.0 meV per atom.

a = 3.6574 Å, b = 3.6574 Å, c = 6.8226 Å
α = 90.00°, β = 90.00°, γ = 90.00°
Each line ends with the local moment (μB).
Sites, in units of the cell vectors:
As 0.5000 0.5000 0.3815  -0.15
As 0.0000 0.0000 0.9860  -0.14
Tl 0.5000 0.5000 0.7933  0.01
Cr 0.0000 0.0000 0.3392  2.97

Number 1: size of the total moment 2.96 Bohr magnetons per cell. Number 2: size of the total moment 0.00 Bohr magnetons per cell. Number 3: size of the total moment 2.75 Bohr magnetons per cell.